Record 1
This record from the Alexandria database describes TcBOs after structural relaxation. The functional is PBE-GGA.

Calculated values
Its crystal system is tetragonal. As for the volume: 11.56 Å³/atom. The magnetic moment is 0.00 Bohr magnetons per cell. Its formation enthalpy at 0 K is -0.12 eV per formula unit.

```
TcBOs
1.0
-1.373 1.373 4.603
1.373 -1.373 4.603
1.373 1.373 -4.603
Tc B Os
1 1 1
Direct
0.000 0.000 0.000
0.345 0.345 0.000
0.712 0.712 0.000
```

Record 2
This record from the Alexandria database describes Ac4CoAu2 after structural relaxation. The functional is PBE-GGA.

Calculated values
Its crystal system is monoclinic. As for the volume: 32.47 Å³/atom. The magnetic moment is 0.00 Bohr magnetons per cell. Its formation enthalpy at 0 K is -3.36 eV per formula unit.

```
Ac4CoAu2
1.0
7.163 -2.109 0.000
7.163 2.109 0.000
-5.331 0.000 7.521
Ac Co Au
4 1 2
Direct
0.075 0.075 0.370
0.338 0.338 0.922
0.662 0.662 0.078
0.925 0.925 0.630
0.000 0.000 0.000
0.378 0.378 0.315
0.622 0.622 0.685
```

Record 3
This record from the Alexandria database describes Ce5GeSb2 after structural relaxation. The functional is PBE-GGA.

Calculated values
The value obtained for the formation energy without anion corrections is -0.7253 eV per atom. Its crystal system is orthorhombic. As for the volume: 28.08 Å³/atom. The magnetic moment is 11.35 Bohr magnetons per cell.

```
Ce5GeSb2
1.0
7.528 0.000 0.000
0.000 11.804 0.000
0.000 0.000 5.055
Ce Ge Sb
10 2 4
Direct
0.000 0.000 0.000
0.172 0.448 0.500
0.179 0.727 0.000
0.321 0.227 0.000
0.328 0.948 0.500
0.500 0.500 0.000
0.672 0.052 0.500
0.679 0.773 0.000
0.821 0.273 0.000
0.828 0.552 0.500
0.000 0.500 0.000
0.500 0.000 0.000
0.061 0.176 0.500
0.439 0.676 0.500
0.561 0.324 0.500
0.939 0.824 0.500
```

Record 4
This record from the Alexandria database describes Tb6Au3O after structural relaxation. The functional is PBE-GGA.

Calculated values
The value obtained for the formation energy without anion corrections is -1.0235 eV per atom. Its crystal system is monoclinic. As for the volume: 24.74 Å³/atom. The magnetic moment is 0.00 Bohr magnetons per cell.

```
Tb6Au3O
1.0
6.510 0.000 0.000
0.000 7.554 0.000
-6.315 0.000 10.064
Tb Au O
12 6 2
Direct
0.076 0.044 0.232
0.076 0.456 0.732
0.208 0.709 0.067
0.208 0.791 0.567
0.375 0.158 0.058
0.375 0.342 0.558
0.625 0.658 0.442
0.625 0.842 0.942
0.792 0.209 0.433
0.792 0.291 0.933
0.924 0.544 0.268
0.924 0.956 0.768
0.306 0.111 0.737
0.306 0.389 0.237
0.500 0.000 0.500
0.500 0.500 0.000
0.694 0.611 0.763
0.694 0.889 0.263
0.000 0.000 0.000
0.000 0.500 0.500
```

Record 5
This record from the Alexandria database describes RbTlCdBi after structural relaxation. The functional is PBE-GGA.

Calculated values
Its crystal system is cubic. As for the volume: 33.93 Å³/atom. The magnetic moment is 0.00 Bohr magnetons per cell. Its formation enthalpy at 0 K is -0.32 eV per formula unit.

```
RbTlCdBi
1.0
0.000 4.079 4.079
4.079 0.000 4.079
4.079 4.079 0.000
Rb Tl Cd Bi
1 1 1 1
Direct
0.000 0.000 0.000
0.750 0.750 0.750
0.250 0.250 0.250
0.500 0.500 0.500
```

Record 6
This record from the Alexandria database describes Sm2ZnH after structural relaxation. The functional is PBE-GGA.

Calculated values
Its crystal system is trigonal. As for the volume: 24.35 Å³/atom. The magnetic moment is 0.00 Bohr magnetons per cell.

```
Sm2ZnH
1.0
1.774 1.024 8.937
-1.774 1.024 8.937
0.000 -2.048 8.937
Sm Zn H
2 1 1
Direct
0.114 0.114 0.114
0.886 0.886 0.886
0.000 0.000 0.000
0.500 0.500 0.500
```

Taking the records one at a time from the top gives final energy values of -28.39; -33.45; -96.67; -105.61; -8.45; -13.70 eV/cell.